Entry 1:
Computed, not measured: an optimized crystal structure of CaScGa2 at the PBE level of DFT.

Values from the calculation:
Space group = No. 166
ΔE_f = -1.2 eV per formula unit
D(E_F) = 0.853 states/eV per atom

Cell: 3.478 3.478 9.183 Å, 79.08 79.08 60.00°
Sites, in units of the cell vectors:
Sc1 0.000 0.000 0.000
Ca1 0.500 0.500 0.500
Ga1 0.255 0.255 0.235
Ga2 0.745 0.745 0.765



Entry 2:
Computed, not measured: an optimized crystal structure of CaScGa at the PBE level of DFT.

Values from the calculation:
Space group = No. 62
ΔE_f = -1.2 eV per formula unit
D(E_F) = 0.000 states/eV per atom
Energy above the most stable polymorph in this dataset = 0.0000 eV/atom

Cell: 7.635 4.755 8.307 Å, 90.00 90.00 90.00°
Sites, in units of the cell vectors:
Sc1 0.153 0.250 0.422
Sc2 0.347 0.750 0.922
Sc3 0.847 0.750 0.578
Sc4 0.653 0.250 0.078
Ca1 0.016 0.250 0.816
Ca2 0.484 0.750 0.316
Ca3 0.984 0.750 0.184
Ca4 0.516 0.250 0.684
Ga1 0.784 0.250 0.401
Ga2 0.716 0.750 0.901
Ga3 0.216 0.750 0.599
Ga4 0.284 0.250 0.099



Entry 3:
Computed, not measured: an optimized crystal structure of CaScGa at the PBE level of DFT.

Values from the calculation:
Space group = No. 107
ΔE_f = -0.9 eV per formula unit
D(E_F) = 0.757 states/eV per atom
Energy above the most stable polymorph in this dataset = 0.1081 eV/atom

Cell: 3.467 3.467 6.759 Å, 104.86 104.86 90.00°
Sites, in units of the cell vectors:
Sc1 0.298 0.298 0.597
Ca1 0.020 0.020 0.039
Ga1 0.682 0.682 0.364



Entry 4:
Computed, not measured: an optimized crystal structure of Ca2ScGaTe5 at the PBE level of DFT.

Values from the calculation:
Space group = No. 36

Cell: 4.225 9.913 13.434 Å, 90.00 90.00 102.31°
Sites, in units of the cell vectors:
Ca1 0.873 0.746 0.820
Ca2 0.120 0.239 0.677
Ca3 0.127 0.254 0.320
Ca4 0.880 0.761 0.177
Sc1 0.794 0.587 0.525
Sc2 0.206 0.413 0.025
Ga1 0.562 0.123 0.936
Ga2 0.438 0.877 0.436
Te1 0.355 0.710 0.002
Te2 0.691 0.383 0.867
Te3 0.498 0.996 0.767
Te4 0.289 0.579 0.674
Te5 0.952 0.903 0.556
Te6 0.645 0.290 0.502
Te7 0.309 0.617 0.367
Te8 0.502 0.004 0.267
Te9 0.711 0.421 0.174
Te10 0.048 0.097 0.056



Number 1: calculated total energy -3.8864 eV per atom, total magnetic moment 0.00 μB/atom, calculated density 3971 kg/m3. Number 2: calculated total energy -4.1873 eV per atom, total magnetic moment 0.00 μB/atom, calculated density 3409 kg/m3. Number 3: calculated total energy -4.0792 eV per atom, total magnetic moment 0.00 μB/atom, calculated density 3394 kg/m3. Number 4: calculated total energy -4.3432 eV per atom, total magnetic moment 0.00 μB/atom, calculated density 5031 kg/m3.